Compound: Sc4CuNiN2
Source: the Open Quantum Materials Database
Functional: PBE
Structure: relaxed

The total energy comes out at -7.346 eV/atom. For the total moment, the calculation gives 0.33 μB/cell.

Unit cell a=3.1925 b=3.1925 c=13.1449 alpha=90.00 beta=90.00 gamma=120.00
With the nearest neighbours (Å) after each atom.
Element x y z (fractional)
Sc 0.0000 0.0000 0.1479  3 N 2.23
Sc 0.0000 0.0000 0.8521  3 N 2.23
Sc 0.6667 0.3333 0.3396  3 N 2.23
Sc 0.6667 0.3333 0.6604  3 N 2.23
Cu 0.0000 0.0000 0.5000  6 Sc 2.80
Ni 0.6667 0.3333 0.0000  6 Sc 2.68
N 0.3333 0.6667 0.2439  6 Sc 2.23
N 0.3333 0.6667 0.7561  6 Sc 2.23

Compound: Cs2PdI3Br
Source: the Open Quantum Materials Database
Functional: PBE
Structure: relaxed

The total energy comes out at -2.937 eV/atom.

Unit cell a=5.1065 b=8.2163 c=8.2163 alpha=86.18 beta=90.00 gamma=90.00
With the nearest neighbours (Å) after each atom.
Element x y z (fractional)
Cs 0.0000 0.2354 0.7646  2 Br 3.70, 6 I 3.93-3.96
Cs 0.0000 0.7646 0.2354  2 Br 3.70, 6 I 3.93-3.96
Pd 0.5000 0.7508 0.7508  1 Br 2.52, 3 I 2.63-2.65
I 0.5000 0.5143 0.9871  1 Pd 2.65
I 0.5000 0.5316 0.5316  1 Pd 2.63
I 0.5000 0.9871 0.5143  1 Pd 2.65
Br 0.5000 0.9608 0.9608  1 Pd 2.52

Compound: RbTl2Pt2
Source: the Open Quantum Materials Database
Functional: PBE
Structure: relaxed

The total energy comes out at -3.656 eV/atom. For the total moment, the calculation gives 0.00 μB/cell.

Unit cell a=6.6395 b=6.6395 c=6.6395 alpha=138.11 beta=138.11 gamma=60.73
With the nearest neighbours (Å) after each atom.
Element x y z (fractional)
Rb 0.0000 0.0000 0.0000  8 Pt 3.60, 8 Tl 3.72
Tl 0.2500 0.7500 0.5000  4 Pt 2.84
Tl 0.7500 0.2500 0.5000  4 Pt 2.84
Pt 0.3860 0.3860 0.0000  1 Pt 2.61, 4 Tl 2.84
Pt 0.6140 0.6140 0.0000  1 Pt 2.61, 4 Tl 2.84

Compound: Na2HgOsSe4
Source: the Open Quantum Materials Database
Functional: PBE
Structure: relaxed

The total energy comes out at -3.818 eV/atom. For the total moment, the calculation gives 0.00 μB/cell.

Unit cell a=7.0642 b=7.0642 c=6.7776 alpha=118.64 beta=118.64 gamma=94.55
With the nearest neighbours (Å) after each atom.
Element x y z (fractional)
Na 0.0000 0.0000 0.0000  4 Se 3.02
Na 0.7509 0.2491 0.5000  4 Se 2.87
Hg 0.2497 0.7503 0.5000  4 Se 2.73
Os 0.5004 0.4996 0.0000  4 Se 2.35
Se 0.1834 0.4134 0.0178  1 Os 2.35
Se 0.3964 0.1655 0.5788  1 Os 2.35
Se 0.5866 0.8166 0.9822  1 Os 2.35
Se 0.8345 0.6036 0.4212  1 Os 2.35

Compound: ZrPt
Source: the Open Quantum Materials Database
Functional: PBE
Structure: relaxed

The formation energy is -818.7 meV/atom. The total energy comes out at -8.120 eV/atom. For the total moment, the calculation gives 0.00 μB/cell.

Unit cell a=4.7601 b=8.2067 c=8.2067 alpha=144.27 beta=90.00 gamma=90.00
With the nearest neighbours (Å) after each atom.
Element x y z (fractional)
Zr 0.0000 0.0000 0.0000  8 Pt 2.75-2.94, 2 Zr 3.08
Zr 0.0000 0.0857 0.6978  3 Pt 2.67-2.85
Zr 0.0000 0.6978 0.0857  3 Pt 2.67-2.85
Zr 0.5000 0.1682 0.5302  5 Pt 2.75-2.95
Zr 0.5000 0.5302 0.1682  5 Pt 2.75-2.95
Pt 0.0000 0.3627 0.5543  4 Zr 2.67-2.78, 2 Pt 2.89
Pt 0.0000 0.5543 0.3627  4 Zr 2.67-2.78, 2 Pt 2.89
Pt 0.5000 0.3291 0.3291  4 Zr 2.83-2.90, 8 Pt 2.89-2.93
Pt 0.5000 0.7318 0.9226  6 Zr 2.75-2.95, 5 Pt 2.92-3.02
Pt 0.5000 0.9226 0.7318  6 Zr 2.75-2.95, 5 Pt 2.92-3.02

Compound: HoGeTeAuS2
Source: the Open Quantum Materials Database
Functional: PBE
Structure: relaxed

The total energy comes out at -4.676 eV/atom. For the total moment, the calculation gives 0.00 μB/cell.

Unit cell a=7.0416 b=7.0416 c=11.2853 alpha=90.00 beta=90.00 gamma=147.10
With the nearest neighbours (Å) after each atom.
Element x y z (fractional)
Ho 0.0000 0.0000 0.0000  4 S 2.72
Ho 0.0000 0.0000 0.5000  4 S 2.72
Ge 0.2407 0.7593 0.7500  2 Te 2.83, 2 Au 2.98
Ge 0.7593 0.2407 0.2500  2 Te 2.83, 2 Au 2.98
Te 0.1111 0.8889 0.2500  2 Ge 2.83
Te 0.8889 0.1111 0.7500  2 Ge 2.83
Au 0.4230 0.5770 0.2500  2 S 2.37
Au 0.5770 0.4230 0.7500  2 S 2.37
S 0.3698 0.6302 0.0498  1 Au 2.37
S 0.3698 0.6302 0.4502  1 Au 2.37
S 0.6302 0.3698 0.5498  1 Au 2.37
S 0.6302 0.3698 0.9502  1 Au 2.37

Compound: CoTcBW
Source: the Open Quantum Materials Database
Functional: PBE
Structure: relaxed

The relative energy among the computed polymorphs is 0 meV/atom. The total energy comes out at -8.862 eV/atom. For the total moment, the calculation gives 0.88 μB/cell.

Unit cell a=4.1064 b=4.1064 c=4.1064 alpha=60.00 beta=60.00 gamma=60.00
With the nearest neighbours (Å) after each atom.
Element x y z (fractional)
Co 0.0000 0.0000 0.0000  4 W 2.51, 4 B 2.51
Tc 0.5000 0.5000 0.5000  4 W 2.51, 4 B 2.51
B 0.7500 0.7500 0.7500  4 Tc 2.51, 4 Co 2.51
W 0.2500 0.2500 0.2500  4 Tc 2.51, 4 Co 2.51

Compound: Sr2TbSO6
Source: the Open Quantum Materials Database
Functional: PBE
Structure: relaxed

The total energy comes out at -6.374 eV/atom. For the total moment, the calculation gives 0.00 μB/cell.

Unit cell a=5.6830 b=5.6232 c=9.7450 alpha=90.00 beta=125.29 gamma=90.00
With the nearest neighbours (Å) after each atom.
Element x y z (fractional)
Sr 0.2436 0.0106 0.2480  6 O 2.54-2.76
Sr 0.2436 0.4894 0.7480  6 O 2.54-2.76
Sr 0.7564 0.5106 0.2520  6 O 2.54-2.76
Sr 0.7564 0.9894 0.7520  6 O 2.54-2.76
Tb 0.5000 0.0000 0.0000  6 O 2.21
Tb 0.5000 0.5000 0.5000  6 O 2.21
S 0.0000 0.0000 0.5000  6 O 1.82-1.83
S 0.0000 0.5000 0.0000  6 O 1.82-1.83
O 0.1803 0.2415 0.4690  1 S 1.83
O 0.1803 0.2585 0.9690  1 S 1.83
O 0.2059 0.7151 0.9687  1 S 1.83
O 0.2059 0.7849 0.4687  1 S 1.83
O 0.2842 0.0039 0.7252  1 S 1.82
O 0.2842 0.4961 0.2252  1 S 1.82
O 0.7158 0.5039 0.7748  1 S 1.82
O 0.7158 0.9961 0.2748  1 S 1.82
O 0.7941 0.2151 0.5313  1 S 1.83
O 0.7941 0.2849 0.0313  1 S 1.83
O 0.8197 0.7415 0.0310  1 S 1.83
O 0.8197 0.7585 0.5310  1 S 1.83

Compound: ZrZnGe
Source: the Open Quantum Materials Database
Functional: PBE
Structure: relaxed

The total energy comes out at -5.275 eV/atom. For the total moment, the calculation gives 0.01 μB/cell.

Unit cell a=6.9100 b=6.9100 c=3.8175 alpha=90.00 beta=90.00 gamma=120.00
With the nearest neighbours (Å) after each atom.
Element x y z (fractional)
Zr 0.0000 0.6081 0.0000  5 Ge 2.71-2.86
Zr 0.3919 0.3919 0.0000  5 Ge 2.71-2.86
Zr 0.6081 0.0000 0.0000  5 Ge 2.71-2.86
Zn 0.0000 0.2600 0.5000  4 Ge 2.59-2.62
Zn 0.2600 0.0000 0.5000  4 Ge 2.59-2.62
Zn 0.7400 0.7400 0.5000  4 Ge 2.59-2.62
Ge 0.0000 0.0000 0.0000  6 Zn 2.62, 3 Zr 2.71
Ge 0.3333 0.6667 0.5000  3 Zn 2.59, 6 Zr 2.86
Ge 0.6667 0.3333 0.5000  3 Zn 2.59, 6 Zr 2.86

Compound: TmGaNiPd
Source: the Open Quantum Materials Database
Functional: PBE
Structure: relaxed

The relative energy among the computed polymorphs is 6 meV/atom. The total energy comes out at -5.289 eV/atom. For the total moment, the calculation gives 0.00 μB/cell.

Unit cell a=4.2611 b=4.2611 c=8.7869 alpha=90.00 beta=90.00 gamma=120.00
With the nearest neighbours (Å) after each atom.
Element x y z (fractional)
Tm 0.0000 0.0000 0.0000  6 Pd 2.89, 2 Ni 2.90
Tm 0.3333 0.6667 0.5000  6 Ni 2.88, 2 Pd 2.88, 6 Ga 3.19
Ga 0.6667 0.3333 0.2697  3 Ni 2.52, 3 Pd 2.60
Ga 0.6667 0.3333 0.7303  3 Ni 2.52, 3 Pd 2.60
Ni 0.0000 0.0000 0.3300  3 Ga 2.52
Ni 0.0000 0.0000 0.6700  3 Ga 2.52
Pd 0.3333 0.6667 0.1724  3 Ga 2.60, 3 Ni 2.82, 4 Tm 2.88-2.89
Pd 0.3333 0.6667 0.8276  3 Ga 2.60, 3 Ni 2.82, 4 Tm 2.88-2.89

Compound: Pm3Pd4
Source: the Open Quantum Materials Database
Functional: PBE
Structure: relaxed

The formation energy is -848.2 meV/atom. The total energy comes out at -5.839 eV/atom. For the total moment, the calculation gives 0.01 μB/cell.

Unit cell a=8.0786 b=8.0786 c=8.0786 alpha=114.42 beta=114.42 gamma=114.42
With the nearest neighbours (Å) after each atom.
Element x y z (fractional)
Pm 0.0266 0.2783 0.4047  8 Pd 2.91-3.24
Pm 0.2783 0.4047 0.0266  8 Pd 2.91-3.24
Pm 0.4047 0.0266 0.2783  8 Pd 2.91-3.24
Pm 0.5953 0.9734 0.7217  8 Pd 2.91-3.24
Pm 0.7217 0.5953 0.9734  8 Pd 2.91-3.24
Pm 0.9734 0.7217 0.5953  8 Pd 2.91-3.24
Pd 0.0000 0.0000 0.0000  2 Pd 2.91, 6 Pm 2.96
Pd 0.0599 0.5525 0.2241  6 Pm 2.91-3.24, 3 Pd 2.94-3.03
Pd 0.2241 0.0599 0.5525  6 Pm 2.91-3.24, 3 Pd 2.94-3.03
Pd 0.4475 0.7759 0.9401  6 Pm 2.91-3.24, 3 Pd 2.94-3.03
Pd 0.5000 0.5000 0.5000  2 Pd 2.91, 6 Pm 3.03
Pd 0.5525 0.2241 0.0599  6 Pm 2.91-3.24, 3 Pd 2.94-3.03
Pd 0.7759 0.9401 0.4475  6 Pm 2.91-3.24, 3 Pd 2.94-3.03
Pd 0.9401 0.4475 0.7759  6 Pm 2.91-3.24, 3 Pd 2.94-3.03

Compound: UCoMo
Source: the Open Quantum Materials Database
Functional: PBE
Structure: relaxed

The relative energy among the computed polymorphs is 246 meV/atom. The formation energy is 749.5 meV/atom. The total energy comes out at -9.001 eV/atom. For the total moment, the calculation gives 0.03 μB/cell.

Unit cell a=4.2752 b=4.2752 c=4.2752 alpha=60.00 beta=60.00 gamma=60.00
With the nearest neighbours (Å) after each atom.
Element x y z (fractional)
U 0.0000 0.0000 0.0000  4 Mo 2.62, 4 Co 2.62
Co 0.2500 0.2500 0.2500  4 U 2.62
Mo 0.7500 0.7500 0.7500  4 U 2.62